# Pr2Nd2Ho2In | Alexandria | PBE | optimized geometry
data_Pr2Nd2Ho2In
_space_group_name_H-M_alt 'P 1'
_space_group_IT_number 1
_cell_length_a 6.223
_cell_length_b 6.223
_cell_length_c 11.749
_cell_angle_alpha 112.09
_cell_angle_beta 112.09
_cell_angle_gamma 33.55
loop_
_space_group_symop_operation_xyz
'x,y,z'
loop_
_atom_site_label
_atom_site_type_symbol
_atom_site_fract_x
_atom_site_fract_y
_atom_site_fract_z
Pr1 Pr 0.028 0.028 0.253
Pr2 Pr 0.972 0.972 0.747
Nd1 Nd 0.173 0.173 0.587
Nd2 Nd 0.827 0.827 0.413
Ho1 Ho 0.246 0.246 0.126
Ho2 Ho 0.754 0.754 0.874
In1 In 0.500 0.500 0.000
# - Magnetic moment: 0.000 μB/atom
# - Fermi-level density of states: 10.8 states/eV/cell
# - Crystal system: monoclinic
# - Raw total energy: -4.458 eV per atom
# - Formation energy from the elements: -0.22 eV/f.u.



# Pr2Nd6Ho3In | Alexandria | PBE | optimized geometry
data_Pr2Nd6Ho3In
_space_group_name_H-M_alt 'P 1'
_space_group_IT_number 1
_cell_length_a 6.233
_cell_length_b 6.233
_cell_length_c 11.948
_cell_angle_alpha 95.00
_cell_angle_beta 95.00
_cell_angle_gamma 120.09
loop_
_space_group_symop_operation_xyz
'x,y,z'
loop_
_atom_site_label
_atom_site_type_symbol
_atom_site_fract_x
_atom_site_fract_y
_atom_site_fract_z
Pr1 Pr 0.166 0.834 0.000
Pr2 Pr 0.834 0.166 0.000
Nd1 Nd 0.091 0.416 0.748
Nd2 Nd 0.259 0.259 0.253
Nd3 Nd 0.416 0.091 0.748
Nd4 Nd 0.584 0.909 0.252
Nd5 Nd 0.741 0.741 0.747
Nd6 Nd 0.909 0.584 0.252
Ho1 Ho 0.000 0.000 0.500
Ho2 Ho 0.333 0.667 0.500
Ho3 Ho 0.667 0.333 0.500
In1 In 0.500 0.500 0.000
# - Magnetic moment: 0.000 μB/atom
# - Fermi-level density of states: 13.6 states/eV/cell
# - Crystal system: monoclinic
# - Raw total energy: -4.606 eV per atom
# - Formation energy from the elements: -0.63 eV/f.u.